(1)
## Y2InAg (PBE)

Data for an optimized crystal structure of Y2InAg.

Unit cell a=4.7019 b=4.7019 c=21.0693 alpha=90.00 beta=90.00 gamma=90.00
Fractional positions:
Y: 0.2483 0.2500 0.1250
Y: 0.2500 0.7483 0.3750
Y: 0.2500 0.7517 0.8750
Y: 0.2517 0.2500 0.6250
Y: 0.7483 0.7500 0.6250
Y: 0.7500 0.2483 0.8750
Y: 0.7500 0.2517 0.3750
Y: 0.7517 0.7500 0.1250
In: 0.0000 0.0000 0.0000
In: 0.0000 0.5000 0.2500
In: 0.5000 0.0000 0.7500
In: 0.5000 0.5000 0.5000
Ag: 0.0000 0.0000 0.5000
Ag: 0.0000 0.5000 0.7500
Ag: 0.5000 0.0000 0.2500
Ag: 0.5000 0.5000 0.0000

- Fermi-level density of states: 1.118 states/eV/atom
- Formation energy: 0.17 eV per atom
- Electronic total energy: -4.456 eV per atom



(2)
## La2PrRh2 (PBE)

Data for an optimized crystal structure of La2PrRh2.

Unit cell a=7.9777 b=7.9777 c=4.0845 alpha=90.00 beta=90.00 gamma=90.00
Fractional positions:
La: 0.1593 0.3407 0.0000
La: 0.3407 0.8407 0.0000
La: 0.6593 0.1593 0.0000
La: 0.8407 0.6593 0.0000
Pr: 0.0000 0.0000 0.5000
Pr: 0.5000 0.5000 0.5000
Rh: 0.1439 0.6439 0.5000
Rh: 0.3561 0.1439 0.5000
Rh: 0.6439 0.8561 0.5000
Rh: 0.8561 0.3561 0.5000

- Fermi-level density of states: 0.801 states/eV/atom
- Formation energy: -0.59 eV per atom
- Electronic total energy: -6.462 eV per atom